#1
## Sr3As2 (PBE)

Data for Sr3As2 after structural relaxation.

Output
Magnetization = 0.00 μB/f.u.
SG = P-3m1, No. 164

a = 5.157 Å, b = 5.157 Å, c = 7.361 Å
α = 90.00°, β = 90.00°, γ = 120.00°
Fractional coordinates of all 5 atoms:
Sr 0.000 0.000 0.000
Sr 0.333 0.667 0.332
Sr 0.667 0.333 0.668
As 0.333 0.667 0.776
As 0.667 0.333 0.224

---

#2
## Sr3As2 (PBE)

Data for Sr3As2 after structural relaxation.

Output
Magnetization = 0.00 μB/f.u.
SG = C2/m, No. 12

a = 15.811 Å, b = 4.605 Å, c = 6.034 Å
α = 90.00°, β = 112.33°, γ = 90.00°
Fractional coordinates of all 10 atoms:
Sr 0.000 0.000 0.000
Sr 0.209 0.500 0.709
Sr 0.291 0.000 0.291
Sr 0.500 0.500 0.000
Sr 0.709 0.000 0.709
Sr 0.791 0.500 0.291
As 0.148 0.500 0.149
As 0.352 0.000 0.851
As 0.648 0.000 0.149
As 0.852 0.500 0.851

---

#3
## Sr3As2 (PBE)

Data for Sr3As2 after structural relaxation.

Output
Magnetization = 0.00 μB/f.u.
SG = R-3c, No. 167

a = 8.290 Å, b = 8.290 Å, c = 8.290 Å
α = 57.10°, β = 57.10°, γ = 57.10°
Fractional coordinates of all 10 atoms:
Sr 0.044 0.750 0.456
Sr 0.250 0.544 0.956
Sr 0.456 0.044 0.750
Sr 0.544 0.956 0.250
Sr 0.750 0.456 0.044
Sr 0.956 0.250 0.544
As 0.145 0.145 0.145
As 0.355 0.355 0.355
As 0.645 0.645 0.645
As 0.855 0.855 0.855

---

#4
## Sr3As2 (PBE)

Data for Sr3As2 after structural relaxation.

Output
Magnetization = 0.00 μB/f.u.
SG = R-3m, No. 166

a = 4.801 Å, b = 4.801 Å, c = 28.459 Å
α = 90.00°, β = 90.00°, γ = 120.00°
Fractional coordinates of all 15 atoms:
Sr 0.000 0.000 0.000
Sr 0.000 0.000 0.228
Sr 0.000 0.000 0.772
Sr 0.333 0.667 0.439
Sr 0.333 0.667 0.667
Sr 0.333 0.667 0.895
Sr 0.667 0.333 0.105
Sr 0.667 0.333 0.333
Sr 0.667 0.333 0.561
As 0.000 0.000 0.399
As 0.000 0.000 0.601
As 0.333 0.667 0.065
As 0.333 0.667 0.268
As 0.667 0.333 0.732
As 0.667 0.333 0.935

---

The least stable of them is #4.

---

#1
## SrTaAs2 (PBE)

Data for SrTaAs2 after structural relaxation.

Output
Magnetization = 0.00 μB/f.u.
SG = Amm2, No. 38

a = 4.825 Å, b = 3.849 Å, c = 11.546 Å
α = 90.00°, β = 90.00°, γ = 90.00°
Fractional coordinates of all 8 atoms:
Sr 0.000 0.000 0.000
Sr 0.000 0.500 0.500
Ta 0.500 0.000 0.762
Ta 0.500 0.500 0.262
As 0.000 0.000 0.710
As 0.000 0.500 0.210
As 0.500 0.000 0.408
As 0.500 0.500 0.908

---

#2
## SrTaAs2 (PBE)

Data for SrTaAs2 after structural relaxation.

Output
Magnetization = 0.00 μB/f.u.
SG = Imm2, No. 44

a = 3.500 Å, b = 3.691 Å, c = 14.492 Å
α = 90.00°, β = 90.00°, γ = 90.00°
Fractional coordinates of all 8 atoms:
Sr 0.000 0.000 0.000
Sr 0.500 0.500 0.500
Ta 0.000 0.500 0.751
Ta 0.500 0.000 0.251
As 0.000 0.000 0.381
As 0.000 0.500 0.180
As 0.500 0.000 0.680
As 0.500 0.500 0.881

---

#3
## SrTaAs2 (PBE)

Data for SrTaAs2 after structural relaxation.

Output
Magnetization = 0.72 μB/f.u.
SG = Immm, No. 71

a = 3.756 Å, b = 6.290 Å, c = 8.441 Å
α = 90.00°, β = 90.00°, γ = 90.00°
Fractional coordinates of all 8 atoms:
Sr 0.000 0.000 0.000
Sr 0.500 0.500 0.500
Ta 0.000 0.000 0.500
Ta 0.500 0.500 0.000
As 0.000 0.500 0.210
As 0.000 0.500 0.790
As 0.500 0.000 0.290
As 0.500 0.000 0.710

---

#4
## SrTaAs2 (PBE)

Data for SrTaAs2 after structural relaxation.

Output
Magnetization = 0.00 μB/f.u.
SG = P4mm, No. 99

a = 3.108 Å, b = 3.108 Å, c = 9.772 Å
α = 90.00°, β = 90.00°, γ = 90.00°
Fractional coordinates of all 4 atoms:
Sr 0.000 0.000 0.000
Ta 0.500 0.500 0.298
As 0.000 0.000 0.468
As 0.500 0.500 0.762

---

The least stable of them is #4.

---

#1
## SrTaAs2 (PBE)

Data for SrTaAs2 after structural relaxation.

Output
Magnetization = 0.00 μB/f.u.
SG = R-3m, No. 166

a = 3.875 Å, b = 3.875 Å, c = 21.299 Å
α = 90.00°, β = 90.00°, γ = 120.00°
Fractional coordinates of all 12 atoms:
Sr 0.000 0.000 0.000
Sr 0.333 0.667 0.667
Sr 0.667 0.333 0.333
Ta 0.000 0.000 0.500
Ta 0.333 0.667 0.167
Ta 0.667 0.333 0.833
As 0.000 0.000 0.236
As 0.000 0.000 0.764
As 0.333 0.667 0.431
As 0.333 0.667 0.902
As 0.667 0.333 0.098
As 0.667 0.333 0.569

---

#2
## SrTaAs2 (PBE)

Data for SrTaAs2 after structural relaxation.

Output
Magnetization = 0.00 μB/f.u.
SG = R3m, No. 160

a = 3.824 Å, b = 3.824 Å, c = 22.000 Å
α = 90.00°, β = 90.00°, γ = 120.00°
Fractional coordinates of all 12 atoms:
Sr 0.000 0.000 0.000
Sr 0.333 0.667 0.667
Sr 0.667 0.333 0.333
Ta 0.000 0.000 0.172
Ta 0.333 0.667 0.839
Ta 0.667 0.333 0.505
As 0.000 0.000 0.572
As 0.000 0.000 0.769
As 0.333 0.667 0.239
As 0.333 0.667 0.436
As 0.667 0.333 0.102
As 0.667 0.333 0.906

---

The least stable of them is #2.

---

#1
## SrTaAs2 (PBE)

Data for SrTaAs2 after structural relaxation.

Output
Magnetization = 0.00 μB/f.u.
SG = P4mm, No. 99

a = 3.808 Å, b = 3.808 Å, c = 7.209 Å
α = 90.00°, β = 90.00°, γ = 90.00°
Fractional coordinates of all 4 atoms:
Sr 0.000 0.000 0.000
Ta 0.500 0.500 0.496
As 0.000 0.000 0.438
As 0.500 0.500 0.827

---

#2
## SrTaAs2 (PBE)

Data for SrTaAs2 after structural relaxation.

Output
Magnetization = 0.00 μB/f.u.
SG = C2/m, No. 12

a = 7.263 Å, b = 7.617 Å, c = 3.239 Å
α = 90.00°, β = 105.54°, γ = 90.00°
Fractional coordinates of all 8 atoms:
Sr 0.000 0.000 0.000
Sr 0.500 0.500 0.000
Ta 0.000 0.500 0.000
Ta 0.500 0.000 0.000
As 0.250 0.250 0.500
As 0.250 0.750 0.500
As 0.750 0.250 0.500
As 0.750 0.750 0.500

---

The least stable of them is #2.

---

#1
## SrTaAs2 (PBE)

Data for SrTaAs2 after structural relaxation.

Output
Magnetization = 0.27 μB/f.u.
SG = F-43m, No. 216

a = 6.972 Å, b = 6.972 Å, c = 6.972 Å
α = 90.00°, β = 90.00°, γ = 90.00°
Fractional coordinates of all 16 atoms:
Sr 0.000 0.000 0.000
Sr 0.000 0.500 0.500
Sr 0.500 0.000 0.500
Sr 0.500 0.500 0.000
Ta 0.250 0.250 0.750
Ta 0.250 0.750 0.250
Ta 0.750 0.250 0.250
Ta 0.750 0.750 0.750
As 0.000 0.000 0.500
As 0.000 0.500 0.000
As 0.250 0.250 0.250
As 0.250 0.750 0.750
As 0.500 0.000 0.000
As 0.500 0.500 0.500
As 0.750 0.250 0.750
As 0.750 0.750 0.250

---

#2
## SrTaAs2 (PBE)

Data for SrTaAs2 after structural relaxation.

Output
Magnetization = 0.00 μB/f.u.
SG = P4/mmm, No. 123

a = 3.356 Å, b = 3.356 Å, c = 7.441 Å
α = 90.00°, β = 90.00°, γ = 90.00°
Fractional coordinates of all 4 atoms:
Sr 0.000 0.000 0.000
Ta 0.000 0.000 0.500
As 0.500 0.500 0.299
As 0.500 0.500 0.701

---

The least stable of them is #1.

---

#1
## SrTaAs2 (PBE)

Data for SrTaAs2 after structural relaxation.

Output
Magnetization = 0.00 μB/f.u.
SG = I-4m2, No. 119

a = 4.065 Å, b = 4.065 Å, c = 10.636 Å
α = 90.00°, β = 90.00°, γ = 90.00°
Fractional coordinates of all 8 atoms:
Sr 0.000 0.000 0.000
Sr 0.500 0.500 0.500
Ta 0.000 0.500 0.750
Ta 0.500 0.000 0.250
As 0.000 0.000 0.500
As 0.000 0.500 0.250
As 0.500 0.000 0.750
As 0.500 0.500 0.000

---

#2
## SrTaAs2 (PBE)

Data for SrTaAs2 after structural relaxation.

Output
Magnetization = 0.34 μB/f.u.
SG = I-42d, No. 122

a = 6.557 Å, b = 6.557 Å, c = 12.028 Å
α = 90.00°, β = 90.00°, γ = 90.00°
Fractional coordinates of all 16 atoms:
Sr 0.000 0.000 0.000
Sr 0.000 0.500 0.250
Sr 0.500 0.000 0.750
Sr 0.500 0.500 0.500
Ta 0.000 0.000 0.500
Ta 0.000 0.500 0.750
Ta 0.500 0.000 0.250
Ta 0.500 0.500 0.000
As 0.170 0.250 0.625
As 0.250 0.670 0.875
As 0.250 0.830 0.375
As 0.330 0.250 0.125
As 0.670 0.750 0.125
As 0.750 0.170 0.375
As 0.750 0.330 0.875
As 0.830 0.750 0.625

---

The least stable of them is #1.